Material: Sc3CoOs2
Method: DFT, PBE
State: optimized geometry

Values from the calculation:
Theoretical density, g/cm3: 9.78
DOS at the Fermi energy, states/eV per atom: 1.04
Symmetry: Cmmm (65)
M_tot, Bohr magnetons per cell: 0.00
Energy of formation, eV/atom: -0.345
VASP energy, eV per atom: -8.439

a = 4.5130 Å, b = 7.1278 Å, c = 6.3911 Å
α = 90.00°, β = 90.01°, γ = 71.54°
Last column: nearest neighbours and their distance in Å.
Positions (direct):
Sc  0.8332  0.3341  0.7531  3 Co 2.75, 5 Os 2.76-2.78
Sc  0.4998  0.0000  0.2476  2 Co 2.75, 6 Os 2.76-2.77
Sc  0.1668  0.6659  0.2469  3 Co 2.75, 5 Os 2.76-2.78
Sc  0.8326  0.3341  0.2469  3 Co 2.75, 5 Os 2.76-2.78
Sc  0.1674  0.6659  0.7531  3 Co 2.75, 5 Os 2.76-2.78
Sc  0.5002  0.0000  0.7524  2 Co 2.75, 6 Os 2.76-2.77
Co  0.3333  0.3333  0.0000  8 Sc 2.75
Co  0.6667  0.6667  0.0000  8 Sc 2.75
Os  0.0000  0.0000  0.0000  8 Sc 2.76
Os  0.0000  0.0000  0.5000  8 Sc 2.77-2.78
Os  0.3333  0.3335  0.5000  8 Sc 2.77-2.78
Os  0.6667  0.6665  0.5000  8 Sc 2.77-2.78

---

Material: ScCo2Os
Method: DFT, PBE
State: optimized geometry

Values from the calculation:
Theoretical density, g/cm3: 10.66
DOS at the Fermi energy, states/eV per atom: 0.82
Symmetry: P4/mmm (123)
M_tot, Bohr magnetons per cell: 3.30
Energy of formation, eV/atom: -0.058
VASP energy, eV per atom: -8.001

a = 4.2542 Å, b = 4.2542 Å, c = 3.0394 Å
α = 90.00°, β = 90.00°, γ = 90.00°
Last column: nearest neighbours and their distance in Å.
Positions (direct):
Co  0.0000  0.0000  0.0000  4 Os 2.61, 4 Sc 2.61
Co  0.5000  0.5000  0.0000  4 Os 2.61, 4 Sc 2.61
Os  0.5000  0.0000  0.5000  8 Co 2.61
Sc  0.0000  0.5000  0.5000  8 Co 2.61

---

Material: ScCo2Os
Method: DFT, PBE
State: optimized geometry

Values from the calculation:
Theoretical density, g/cm3: 10.43
DOS at the Fermi energy, states/eV per atom: 1.36
Symmetry: R3m (160)
M_tot, Bohr magnetons per cell: 3.08
Energy of formation, eV/atom: 0.274
VASP energy, eV per atom: -7.669

a = 8.7263 Å, b = 8.7263 Å, c = 8.7263 Å
α = 18.13°, β = 18.13°, γ = 18.13°
Last column: nearest neighbours and their distance in Å.
Positions (direct):
Co  0.9931  0.9931  0.9931  9 Co 2.46-2.75, 3 Sc 2.72
Co  0.2535  0.2535  0.2535  9 Co 2.46-2.75, 3 Os 2.58
Os  0.5079  0.5079  0.5079  3 Co 2.58, 6 Os 2.75
Sc  0.7456  0.7456  0.7456  3 Co 2.72, 6 Sc 2.75, 3 Os 2.93

---

Material: ScCo4Os
Method: DFT, PBE
State: optimized geometry

Values from the calculation:
Theoretical density, g/cm3: 10.15
DOS at the Fermi energy, states/eV per atom: 0.72
Symmetry: F-43m (216)
M_tot, Bohr magnetons per cell: 7.14
Energy of formation, eV/atom: -0.089
VASP energy, eV per atom: -7.754

a = 4.7768 Å, b = 4.7768 Å, c = 4.7768 Å
α = 60.00°, β = 60.00°, γ = 60.00°
Last column: nearest neighbours and their distance in Å.
Positions (direct):
Sc  0.0000  0.0000  0.0000  12 Co 2.80, 4 Os 2.93
Co  0.8762  0.3746  0.3746  6 Co 2.38-2.40
Co  0.3746  0.3746  0.8762  6 Co 2.38-2.40
Co  0.3746  0.8762  0.3746  6 Co 2.38-2.40
Co  0.3746  0.3746  0.3746  6 Co 2.38-2.40
Os  0.7500  0.7500  0.7500  12 Co 2.80, 4 Sc 2.93